## Ru (PBE)

Data for a relaxed structure of Ru.

The energy above the lowest structure with this stoichiometry is 1188.2 meV per atom. For the density of states at the Fermi level, the calculation gives 0.989 states/eV per atom. The formation energy is 1.19 eV per atom.

The structure belongs to space group Fd-3m (No. 227, origin choice 2); the cell edges are 5.476, 5.476 and 5.476 Å and the angles 90.00°, 90.00° and 90.00°. The asymmetric unit holds Ru at (0.125, 0.125, 0.125).

***

## ScTlOs2 (PBE)

Data for a relaxed structure of ScTlOs2.

For the density of states at the Fermi level, the calculation gives 1.183 states/eV per atom. The formation energy is 0.35 eV per atom.

The structure belongs to space group P4/mmm (No. 123); the cell edges are 4.156, 4.156 and 3.976 Å and the angles 90.00°, 90.00° and 90.00°. The asymmetric unit holds Sc at (0.000, 0.000, 0.000), Tl at (0.500, 0.500, 0.000) and Os at (0.000, 0.500, 0.500).

***

## Pm2InH (PBE)

Data for a relaxed structure of Pm2InH.

The energy above the lowest structure with this stoichiometry is 64.4 meV per atom. For the density of states at the Fermi level, the calculation gives 0.907 states/eV per atom.

The structure belongs to space group Cmmm (No. 65); the cell edges are 5.287, 17.426 and 4.066 Å and the angles 90.00°, 90.00° and 90.00°. The asymmetric unit holds Pm at (0.000, 0.000, 0.000), Pm at (0.000, 0.183, 0.500), Pm at (0.000, 0.500, 0.500), In at (0.000, 0.349, 0.000) and H at (0.000, 0.057, 0.500).

***

## HfZn2Cu (PBE)

Data for a relaxed structure of HfZn2Cu.

For the density of states at the Fermi level, the calculation gives 0.430 states/eV per atom. The formation energy is -0.15 eV per atom.

The structure belongs to space group I-4m2 (No. 119); the cell edges are 4.428, 4.428 and 6.288 Å and the angles 90.00°, 90.00° and 90.00°. The asymmetric unit holds Hf at (0.000, 0.000, 0.000), Zn at (0.000, 0.000, 0.500), Zn at (0.000, 0.500, 0.250) and Cu at (0.000, 0.500, 0.750).

***

## LiTm3Nb3N8 (PBE)

Data for a relaxed structure of LiTm3Nb3N8.

For the energy relative to the elements, uncorrected, the calculation gives -1119 meV/atom. For the density of states at the Fermi level, the calculation gives 0.490 states/eV per atom.

The structure belongs to space group R-3m (No. 166, hexagonal axes); the cell edges are 6.3154, 6.3154 and 15.9495 Å and the angles 90.00°, 90.00° and 120.00°. The asymmetric unit holds Li at (0.0000, 0.0000, 0.0000), Tm at (0.0000, 0.5000, 0.5000), Nb at (0.0000, 0.5000, 0.0000), N at (0.0000, 0.0000, 0.2548) and N at (0.0102, 0.5051, 0.2599).

***

## As2IrPb (PBE)

Data for a relaxed structure of As2IrPb.

The energy above the lowest structure with this stoichiometry is 614.3 meV per atom. For the density of states at the Fermi level, the calculation gives 1.001 states/eV per atom. The formation energy is 0.56 eV per atom.

The structure belongs to space group F-43m (No. 216); the cell edges are 6.803, 6.803 and 6.803 Å and the angles 90.00°, 90.00° and 90.00°. The asymmetric unit holds As at (0.000, 0.000, 0.000), As at (0.250, 0.250, 0.250), Ir at (0.000, 0.000, 0.500) and Pb at (0.250, 0.250, 0.750).

***

## InSiRh (PBE)

Data for a relaxed structure of InSiRh.

For the energy relative to the elements, uncorrected, the calculation gives -215 meV/atom. For the density of states at the Fermi level, the calculation gives 0.593 states/eV per atom.

The structure belongs to space group F-43m (No. 216); the cell edges are 6.065, 6.065 and 6.065 Å and the angles 90.00°, 90.00° and 90.00°. The asymmetric unit holds In at (0.000, 0.000, 0.000), Si at (0.000, 0.000, 0.500) and Rh at (0.250, 0.250, 0.250).

***

## Nd2C (PBE)

Data for a relaxed structure of Nd2C.

For the density of states at the Fermi level, the calculation gives 0.697 states/eV per atom. The formation energy is -0.10 eV per atom.

The structure belongs to space group C2/m (No. 12); the cell edges are 6.376, 3.679 and 6.672 Å and the angles 90.00°, 90.87° and 90.00°. The asymmetric unit holds Nd at (0.163, 0.000, 0.288) and C at (0.000, 0.500, 0.500).

***

## YTlIr2 (PBE)

Data for a relaxed structure of YTlIr2.

The energy above the lowest structure with this stoichiometry is 585.8 meV per atom. For the density of states at the Fermi level, the calculation gives 0.795 states/eV per atom. The formation energy is 0.33 eV per atom.

The structure belongs to space group I-42d (No. 122); the cell edges are 4.320, 4.320 and 18.669 Å and the angles 90.00°, 90.00° and 90.00°. The asymmetric unit holds Y at (0.000, 0.000, 0.000), Tl at (0.000, 0.000, 0.500) and Ir at (0.199, 0.250, 0.125).

***

## Ac3Pr5Hg2 (PBE)

Data for a relaxed structure of Ac3Pr5Hg2.

For the density of states at the Fermi level, the calculation gives 1.369 states/eV per atom. The formation energy is -0.11 eV per atom.

The structure belongs to space group P4/mbm (No. 127); the cell edges are 11.736, 11.736 and 5.272 Å and the angles 90.00°, 90.00° and 90.00°. The asymmetric unit holds Ac at (0.000, 0.000, 0.000), Ac at (0.188, 0.312, 0.000), Pr at (0.000, 0.500, 0.500), Pr at (0.048, 0.787, 0.500) and Hg at (0.113, 0.613, 0.000).

***

## KSbAs2 (PBE)

Data for a relaxed structure of KSbAs2.

For the energy relative to the elements, uncorrected, the calculation gives -122 meV/atom. For the density of states at the Fermi level, the calculation gives 0.388 states/eV per atom.

The structure belongs to space group Cm (No. 8); the cell edges are 10.821, 3.701 and 6.124 Å and the angles 90.00°, 108.41° and 90.00°. The asymmetric unit holds K at (0.000, 0.000, 0.000), Sb at (0.291, 0.500, 0.380), As at (0.015, 0.500, 0.512) and As at (0.210, 0.000, 0.642).